Density functional theory data (PBE) for crystalline HfAs2WSe at its relaxed geometry.

Geometry as extended XYZ:
```
5
Lattice="-0.075 -1.457 4.637 1.145 -4.512 -1.400 4.766 1.080 0.417" Properties=species:S:1:pos:R:3 pbc="T T T"
As 0.572 -2.256 -0.700
Hf 2.918 -2.445 1.827
W 0.000 0.000 0.000
As -0.038 -0.729 2.318
Se 2.383 0.540 0.208
```

## Properties
DFT total energy ... -6.48 eV/atom
Crystal system ... tetragonal
Size of the total moment ... 0.000 μB per atom
E above lowest polymorph ... 0 meV per atom
Uncorrected formation energy ... 0.662 eV/atom

***

Density functional theory data (PBE) for crystalline HfAs2WSe at its relaxed geometry.

Geometry as extended XYZ:
```
5
Lattice="-3.817 2.721 2.053 -2.310 -4.332 1.445 2.458 0.148 4.374" Properties=species:S:1:pos:R:3 pbc="T T T"
As -1.155 -2.166 0.723
As -1.909 1.361 1.027
Se 1.229 0.074 2.187
W -1.835 -0.731 3.936
Hf 0.000 0.000 0.000
```

## Properties
DFT total energy ... -6.10 eV/atom
Crystal system ... tetragonal
Size of the total moment ... 0.643 μB per atom
E above lowest polymorph ... 379 meV per atom
Uncorrected formation energy ... 1.040 eV/atom

***

Density functional theory data (PBE) for crystalline YHfAs2Se at its relaxed geometry.

Geometry as extended XYZ:
```
5
Lattice="-1.434 -2.262 -4.538 2.454 -4.437 1.436 -4.410 -1.713 2.247" Properties=species:S:1:pos:R:3 pbc="T T T"
As 1.227 -2.218 0.718
Y 0.000 0.000 0.000
As -0.717 -1.131 -2.269
Se -2.205 -0.856 1.124
Hf -1.695 -4.205 -0.428
```

## Properties
DFT total energy ... -5.43 eV/atom
Crystal system ... tetragonal
Size of the total moment ... 0.000 μB per atom
E above lowest polymorph ... 945 meV per atom
Uncorrected formation energy ... 0.411 eV/atom

***

Density functional theory data (PBE) for crystalline YHfAs2Se at its relaxed geometry.

Geometry as extended XYZ:
```
5
Lattice="5.104 0.000 0.000 0.000 5.104 0.000 0.000 0.000 5.113" Properties=species:S:1:pos:R:3 pbc="T T T"
As 2.552 0.000 0.000
Se 0.000 0.000 2.556
As 0.000 2.552 0.000
Hf 0.000 0.000 0.000
Y 2.552 2.552 2.556
```

## Properties
DFT total energy ... -6.37 eV/atom
Crystal system ... tetragonal
Size of the total moment ... 0.000 μB per atom
E above lowest polymorph ... 0 meV per atom
Uncorrected formation energy ... -0.534 eV/atom

***

Density functional theory data (PBE) for crystalline HfZnAsSe2 at its relaxed geometry.

Geometry as extended XYZ:
```
5
Lattice="5.126 0.000 0.000 0.000 5.126 0.000 0.000 0.000 5.294" Properties=species:S:1:pos:R:3 pbc="T T T"
Se 0.000 2.563 0.000
Hf 0.000 0.000 0.000
Zn 2.563 2.563 2.647
Se 2.563 0.000 0.000
As 0.000 0.000 2.647
```

## Properties
DFT total energy ... -4.65 eV/atom
Crystal system ... tetragonal
Size of the total moment ... 0.000 μB per atom
E above lowest polymorph ... 0 meV per atom
Uncorrected formation energy ... -0.082 eV/atom

***

Density functional theory data (PBE) for crystalline HfZnAsSe2 at its relaxed geometry.

Geometry as extended XYZ:
```
5
Lattice="4.822 0.000 0.000 0.000 4.822 0.000 0.000 0.000 4.743" Properties=species:S:1:pos:R:3 pbc="T T T"
Se 0.000 2.411 0.000
Se 2.411 0.000 0.000
Zn 0.000 0.000 0.000
As 0.000 0.000 2.372
Hf 2.411 2.411 2.372
```

## Properties
DFT total energy ... -4.19 eV/atom
Crystal system ... tetragonal
Size of the total moment ... 0.000 μB per atom
E above lowest polymorph ... 466 meV per atom
Uncorrected formation energy ... 0.384 eV/atom

***

Density functional theory data (PBE) for crystalline HfZrAsSe2 at its relaxed geometry.

Geometry as extended XYZ:
```
5
Lattice="5.043 0.000 0.000 0.000 5.043 0.000 0.000 0.000 5.164" Properties=species:S:1:pos:R:3 pbc="T T T"
As 0.000 0.000 2.582
Zr 2.522 2.522 2.582
Hf 0.000 0.000 0.000
Se 0.000 2.522 0.000
Se 2.522 0.000 0.000
```

## Properties
DFT total energy ... -6.17 eV/atom
Crystal system ... tetragonal
Size of the total moment ... 0.213 μB per atom
E above lowest polymorph ... 0 meV per atom
Uncorrected formation energy ... -0.145 eV/atom

***

Density functional theory data (PBE) for crystalline HfZrAsSe2 at its relaxed geometry.

Geometry as extended XYZ:
```
5
Lattice="5.054 0.000 0.000 0.000 5.054 0.000 0.000 0.000 5.220" Properties=species:S:1:pos:R:3 pbc="T T T"
As 0.000 0.000 2.610
Zr 0.000 0.000 0.000
Hf 2.527 2.527 2.610
Se 2.527 0.000 0.000
Se 0.000 2.527 0.000
```

## Properties
DFT total energy ... -5.95 eV/atom
Crystal system ... tetragonal
Size of the total moment ... 0.000 μB per atom
E above lowest polymorph ... 217 meV per atom
Uncorrected formation energy ... 0.072 eV/atom

***

Density functional theory data (PBE) for crystalline Hf6SiAs2 at its relaxed geometry.

Geometry as extended XYZ:
```
18
Lattice="5.865 0.000 0.138 0.000 6.913 0.000 -0.527 0.000 8.948" Properties=species:S:1:pos:R:3 pbc="T T T"
Hf 0.666 2.343 4.018
As 3.021 6.060 6.679
Hf 1.920 5.557 4.062
Hf 3.767 3.191 2.463
Hf 4.673 4.570 5.068
Hf 2.004 5.800 0.525
As 0.351 4.309 2.136
Hf 1.572 3.722 6.624
Si 2.933 3.456 0.069
Hf 3.418 1.356 5.025
Hf 0.571 0.265 6.868
Hf 0.749 2.101 0.481
Si -0.263 0.000 4.474
Hf 4.590 4.812 8.605
As 4.987 2.604 6.950
As 2.318 0.853 2.407
Hf 3.335 1.113 8.561
Hf 4.768 6.648 2.219
```

## Properties
DFT total energy ... -8.83 eV/atom
Crystal system ... monoclinic
Size of the total moment ... 0.000 μB per atom
Uncorrected formation energy ... -0.557 eV/atom

***

Density functional theory data (PBE) for crystalline Hf2SiAs at its relaxed geometry.

Geometry as extended XYZ:
```
4
Lattice="3.758 0.000 0.000 1.879 3.254 0.000 1.879 1.085 6.482" Properties=species:S:1:pos:R:3 pbc="T T T"
As 3.758 2.169 3.252
Hf 1.879 1.085 4.983
Si 5.636 3.254 6.456
Hf 1.879 1.085 1.513
```

## Properties
DFT total energy ... -8.24 eV/atom
Crystal system ... trigonal
Size of the total moment ... 0.000 μB per atom
E above lowest polymorph ... 44 meV per atom
Uncorrected formation energy ... -0.741 eV/atom

***

Density functional theory data (PBE) for crystalline Hf2SiAs at its relaxed geometry.

Geometry as extended XYZ:
```
4
Lattice="3.794 0.000 0.000 1.897 3.286 0.000 1.897 1.095 6.286" Properties=species:S:1:pos:R:3 pbc="T T T"
Si 3.794 2.190 3.143
As 0.000 0.000 0.000
Hf 1.897 1.095 1.640
Hf 5.691 3.286 4.646
```

## Properties
DFT total energy ... -8.28 eV/atom
Crystal system ... trigonal
Size of the total moment ... 0.000 μB per atom
E above lowest polymorph ... 0 meV per atom
Uncorrected formation energy ... -0.785 eV/atom

***

Density functional theory data (PBE) for crystalline Hf7Si2As2 at its relaxed geometry.

Geometry as extended XYZ:
```
11
Lattice="3.611 0.000 0.000 1.805 8.225 0.005 1.805 3.904 7.240" Properties=species:S:1:pos:R:3 pbc="T T T"
Hf 3.611 1.640 2.061
Hf 3.611 3.973 7.124
Hf 1.805 3.369 4.192
As 5.416 9.552 4.818
Hf 5.416 6.841 6.265
Si 1.805 7.207 1.709
Si 3.611 5.391 4.750
Hf 3.611 9.536 6.777
As 1.805 3.358 1.118
Hf 3.611 7.874 3.657
Hf 3.611 5.176 2.046
```

## Properties
DFT total energy ... -8.84 eV/atom
Crystal system ... orthorhombic
Size of the total moment ... 0.000 μB per atom
Uncorrected formation energy ... -0.672 eV/atom

***

Density functional theory data (PBE) for crystalline Hf2SiAs at its relaxed geometry.

Geometry as extended XYZ:
```
4
Lattice="-2.827 -2.006 3.165 -1.791 2.559 3.503 -4.578 1.035 0.048" Properties=species:S:1:pos:R:3 pbc="T T T"
Hf -6.897 1.191 5.037
Hf -2.299 0.397 1.679
Si 0.000 0.000 0.000
As -4.598 0.794 3.358
```

## Properties
DFT total energy ... -7.90 eV/atom
Crystal system ... cubic
Size of the total moment ... 0.000 μB per atom
E above lowest polymorph ... 380 meV per atom
Uncorrected formation energy ... -0.405 eV/atom

***

Density functional theory data (PBE) for crystalline HfSiAs3 at its relaxed geometry.

Geometry as extended XYZ:
```
5
Lattice="-1.694 -3.330 -3.501 -2.600 -2.500 3.635 -4.073 2.980 -0.863" Properties=species:S:1:pos:R:3 pbc="T T T"
As -1.300 -1.250 1.817
As -2.037 1.490 -0.432
Hf 0.000 0.000 0.000
As -0.847 -1.665 -1.751
Si -4.183 -1.425 -0.365
```

## Properties
DFT total energy ... -5.29 eV/atom
Crystal system ... cubic
Size of the total moment ... 0.000 μB per atom
E above lowest polymorph ... 61 meV per atom
Uncorrected formation energy ... 0.575 eV/atom

***

Density functional theory data (PBE) for crystalline Hf8SiAs2 at its relaxed geometry.

Geometry as extended XYZ:
```
11
Lattice="5.038 -0.085 -0.128 -0.955 7.056 -0.113 -0.955 -2.821 6.468" Properties=species:S:1:pos:R:3 pbc="T T T"
Hf 2.988 2.124 5.767
Hf 0.139 -0.355 2.046
Hf 0.458 2.613 3.922
Hf 1.564 -0.530 4.849
Hf 2.670 1.536 2.306
As -0.955 0.283 4.400
Si 2.519 -0.043 -0.064
Hf 1.564 4.679 1.379
As -0.955 3.952 1.955
Hf 0.139 2.025 0.460
Hf 2.988 4.504 4.182
```

## Properties
DFT total energy ... -8.91 eV/atom
Crystal system ... monoclinic
Size of the total moment ... 0.000 μB per atom
Uncorrected formation energy ... -0.336 eV/atom

***

Density functional theory data (PBE) for crystalline Hf2SiAs3 at its relaxed geometry.

Geometry as extended XYZ:
```
6
Lattice="3.662 0.000 0.000 0.000 3.662 0.000 0.000 0.000 8.205" Properties=species:S:1:pos:R:3 pbc="T T T"
As 0.000 1.831 5.033
As 1.831 0.000 3.172
Hf 1.831 0.000 6.042
Si 1.831 1.831 0.000
As 0.000 0.000 0.000
Hf 0.000 1.831 2.163
```

## Properties
DFT total energy ... -7.28 eV/atom
Crystal system ... tetragonal
Size of the total moment ... 0.000 μB per atom
Uncorrected formation energy ... -0.731 eV/atom

***

Density functional theory data (PBE) for crystalline Hf2SiAs at its relaxed geometry.

Geometry as extended XYZ:
```
8
Lattice="6.003 0.000 0.000 0.000 6.003 0.000 3.001 3.001 6.056" Properties=species:S:1:pos:R:3 pbc="T T T"
As 0.000 0.000 0.000
Hf 4.466 1.501 1.514
Si 3.001 3.001 0.000
Hf 7.503 7.467 4.542
Hf 1.537 4.502 1.514
Si 3.001 6.003 3.028
As 6.003 3.001 3.028
Hf 4.502 4.538 4.542
```

## Properties
DFT total energy ... -7.46 eV/atom
Crystal system ... tetragonal
Size of the total moment ... 0.000 μB per atom
E above lowest polymorph ... 824 meV per atom
Uncorrected formation energy ... 0.039 eV/atom

***

Density functional theory data (PBE) for crystalline HfSiAs2 at its relaxed geometry.

Geometry as extended XYZ:
```
8
Lattice="-1.079 -4.804 -3.318 4.071 1.799 -3.930 5.582 -4.421 -0.727" Properties=species:S:1:pos:R:3 pbc="T T T"
Hf 0.000 0.000 0.000
As 5.387 -4.408 -3.339
Si 1.496 -1.503 -3.624
Si 5.575 -2.062 -4.140
Hf 2.999 -5.364 -3.834
As 1.251 -3.790 -2.682
As 3.784 -0.674 -3.117
As 6.726 -5.980 -6.810
```

## Properties
DFT total energy ... -6.17 eV/atom
Crystal system ... tetragonal
Size of the total moment ... 0.000 μB per atom
Uncorrected formation energy ... -0.005 eV/atom

***

Density functional theory data (PBE) for crystalline Hf5Si2As2 at its relaxed geometry.

Geometry as extended XYZ:
```
18
Lattice="-4.035 2.189 -5.342 -3.282 -6.185 -0.056 -6.563 3.467 1.735" Properties=species:S:1:pos:R:3 pbc="T T T"
Hf -6.638 -3.067 -2.417
Hf 0.000 0.000 0.000
Hf -4.069 -3.122 0.264
As -5.507 -1.033 -0.907
Hf -3.658 -1.998 -2.699
Hf -3.116 0.343 -0.619
Hf -8.195 -0.927 -0.364
As -4.715 2.502 -0.057
Si -2.946 0.595 -3.361
Hf -7.242 2.539 -1.246
As -5.884 3.154 -3.550
Hf -9.811 2.593 -3.927
Si -5.574 -1.962 -4.695
Si -1.743 -2.034 -0.703
Si -4.371 -4.591 -2.037
As -8.373 0.504 -2.756
Hf -10.764 -0.872 -3.044
Hf -5.685 0.398 -3.299
```

## Properties
DFT total energy ... -8.68 eV/atom
Crystal system ... orthorhombic
Size of the total moment ... 0.000 μB per atom
Uncorrected formation energy ... -0.911 eV/atom

***

Density functional theory data (PBE) for crystalline HfSiAs3 at its relaxed geometry.

Geometry as extended XYZ:
```
5
Lattice="4.712 0.000 0.000 0.000 4.712 0.000 0.000 0.000 4.712" Properties=species:S:1:pos:R:3 pbc="T T T"
As 0.000 2.356 0.000
Hf 2.356 2.356 2.356
As 2.356 0.000 0.000
Si 0.000 0.000 0.000
As 0.000 0.000 2.356
```

## Properties
DFT total energy ... -5.35 eV/atom
Crystal system ... cubic
Size of the total moment ... 0.000 μB per atom
E above lowest polymorph ... 0 meV per atom
Uncorrected formation energy ... 0.514 eV/atom

***

Density functional theory data (PBE) for crystalline HfSiSn2As at its relaxed geometry.

Geometry as extended XYZ:
```
5
Lattice="5.100 0.000 0.000 0.000 5.031 0.000 0.000 0.000 5.100" Properties=species:S:1:pos:R:3 pbc="T T T"
Sn 0.000 0.000 2.550
Si 0.000 0.000 0.000
Hf 0.000 2.515 0.000
Sn 2.550 0.000 0.000
As 2.550 2.515 2.550
```

## Properties
DFT total energy ... -4.99 eV/atom
Crystal system ... tetragonal
Size of the total moment ... 0.000 μB per atom
Uncorrected formation energy ... 0.621 eV/atom

***

Density functional theory data (PBE) for crystalline Sr2HfSiAs at its relaxed geometry.

Geometry as extended XYZ:
```
5
Lattice="6.158 0.000 0.000 0.000 4.930 0.000 0.000 0.000 6.158" Properties=species:S:1:pos:R:3 pbc="T T T"
Si 0.000 2.465 0.000
Hf 0.000 0.000 0.000
Sr 0.000 0.000 3.079
As 3.079 2.465 3.079
Sr 3.079 0.000 0.000
```

## Properties
DFT total energy ... -3.91 eV/atom
Crystal system ... tetragonal
Size of the total moment ... 0.330 μB per atom
Uncorrected formation energy ... 0.764 eV/atom

***

Density functional theory data (PBE) for crystalline SmHfAs2 at its relaxed geometry.

Geometry as extended XYZ:
```
4
Lattice="3.990 0.000 0.000 1.995 3.455 0.000 1.995 1.152 6.611" Properties=species:S:1:pos:R:3 pbc="T T T"
Hf 0.000 0.000 0.000
As 5.985 3.455 5.115
Sm 3.990 2.304 3.306
As 1.995 1.152 1.496
```

## Properties
DFT total energy ... -7.25 eV/atom
Crystal system ... trigonal
Size of the total moment ... 0.000 μB per atom
E above lowest polymorph ... 0 meV per atom
ΔH_f (0 K) ... -1.25 eV per atom

***

Density functional theory data (PBE) for crystalline SmHfAs2 at its relaxed geometry.

Geometry as extended XYZ:
```
4
Lattice="3.931 0.000 0.000 1.965 3.404 0.000 1.965 1.135 6.908" Properties=species:S:1:pos:R:3 pbc="T T T"
As 1.965 1.135 5.370
Sm 3.931 2.269 3.525
As 1.965 1.135 1.538
Hf 5.896 3.404 6.837
```

## Properties
DFT total energy ... -7.17 eV/atom
Crystal system ... trigonal
Size of the total moment ... 0.000 μB per atom
E above lowest polymorph ... 79 meV per atom
ΔH_f (0 K) ... -1.17 eV per atom

***

Density functional theory data (PBE) for crystalline Sr2SmHfAs4 at its relaxed geometry.

Geometry as extended XYZ:
```
8
Lattice="-3.266 -0.307 2.555 -3.317 -4.332 -4.761 4.065 -4.285 4.681" Properties=species:S:1:pos:R:3 pbc="T T T"
As -1.618 -4.230 -2.577
Sr 0.374 -4.308 -0.040
Sm -3.292 -2.320 -1.103
As -1.502 -2.028 1.219
As -1.016 -6.896 1.255
As 2.366 -4.387 2.496
Sr 0.400 -2.296 3.618
Hf 0.000 0.000 0.000
```

## Properties
DFT total energy ... -5.73 eV/atom
Crystal system ... monoclinic
Size of the total moment ... 0.000 μB per atom
ΔH_f (0 K) ... -1.15 eV per atom

***

Density functional theory data (PBE) for crystalline Sr3Sm2HfAs6 at its relaxed geometry.

Geometry as extended XYZ:
```
12
Lattice="-4.414 5.183 2.658 -2.764 -5.501 -3.939 1.510 -3.733 6.423" Properties=species:S:1:pos:R:3 pbc="T T T"
As -1.062 -2.573 0.078
Sm -3.863 1.614 0.455
Sr -2.834 -2.026 2.572
Sm -3.315 -1.932 -1.735
As -5.127 -1.070 0.450
Sr -3.376 1.486 4.740
Sr -2.292 -5.537 0.403
As -0.541 -2.981 4.693
Hf 0.000 0.000 0.000
As -4.087 -4.838 2.990
As -4.606 -1.478 5.065
As -1.581 0.787 2.153
```

## Properties
DFT total energy ... -5.52 eV/atom
Crystal system ... monoclinic
Size of the total moment ... 0.000 μB per atom
ΔH_f (0 K) ... -1.16 eV per atom